Compound: Li2MgZn4
Source: Alexandria
Functional: PBE-GGA
Structure: relaxed

DOS at the Fermi energy = 3.36 states/eV per cell
Uncorrected energy = -1.15 eV/atom
E_form = 0.354 eV/atom
Magnetization = 0.000 μB per atom

a = 5.0066 Å, b = 5.0066 Å, c = 7.6451 Å
α = 109.11°, β = 109.11°, γ = 90.00°
Positions (direct):
Zn 0.5000 0.0000 0.0000
Li 0.3996 0.3996 0.7993
Li 0.6004 0.6004 0.2007
Zn 0.7951 0.7951 0.5902
Zn 0.0000 0.5000 0.0000
Mg 0.0000 0.0000 0.0000
Zn 0.2049 0.2049 0.4098


Compound: LiMg2Zn8
Source: Alexandria
Functional: PBE-GGA
Structure: relaxed

DOS at the Fermi energy = 2.85 states/eV per cell
Uncorrected energy = -1.46 eV/atom
E_form = -0.068 eV/atom
Magnetization = 0.000 μB per atom

a = 4.2242 Å, b = 6.4663 Å, c = 7.9707 Å
α = 121.69°, β = 104.98°, γ = 90.44°
Positions (direct):
Zn 0.6676 0.4501 0.3422
Zn 0.3324 0.5499 0.6578
Zn 0.5865 0.7234 0.1734
Li 0.5000 0.0000 0.0000
Zn 0.8641 0.8712 0.7249
Zn 0.1359 0.1288 0.2751
Zn 0.4135 0.2766 0.8266
Mg 0.2220 0.8000 0.4458
Mg 0.7780 0.2000 0.5542
Zn 0.9727 0.6673 0.9447
Zn 0.0273 0.3327 0.0553


Compound: LiMgZn3
Source: Alexandria
Functional: PBE-GGA
Structure: relaxed

DOS at the Fermi energy = 1.62 states/eV per cell
Uncorrected energy = -1.17 eV/atom
Polymorph energy (0 for the lowest one) = 0.428 eV/atom
E_form = 0.295 eV/atom
Magnetization = 0.000 μB per atom

a = 4.4890 Å, b = 4.4890 Å, c = 4.4890 Å
α = 90.00°, β = 90.00°, γ = 90.00°
Positions (direct):
Mg 0.5000 0.5000 0.5000
Zn 0.0000 0.5000 0.0000
Zn 0.0000 0.0000 0.5000
Zn 0.5000 0.0000 0.0000
Li 0.0000 0.0000 0.0000


Compound: Li2Mg3Zn4
Source: Alexandria
Functional: PBE-GGA
Structure: relaxed

DOS at the Fermi energy = 3.08 states/eV per cell
Uncorrected energy = -1.64 eV/atom
E_form = -0.112 eV/atom
Magnetization = 0.000 μB per atom

a = 4.5246 Å, b = 5.4673 Å, c = 7.0944 Å
α = 101.42°, β = 90.00°, γ = 114.44°
Positions (direct):
Zn 0.8888 0.7776 0.3691
Mg 0.4523 0.9046 0.6830
Zn 0.7003 0.4005 0.0395
Mg 0.0000 0.0000 0.0000
Mg 0.5477 0.0954 0.3170
Li 0.2370 0.4739 0.3186
Li 0.7630 0.5261 0.6814
Zn 0.1112 0.2224 0.6309
Zn 0.2997 0.5995 0.9605


Compound: Li10MgZn4
Source: Alexandria
Functional: PBE-GGA
Structure: relaxed

DOS at the Fermi energy = 6.34 states/eV per cell
Uncorrected energy = -1.59 eV/atom
E_form = 0.134 eV/atom
Magnetization = 0.000 μB per atom

a = 6.1158 Å, b = 7.8696 Å, c = 7.8696 Å
α = 81.32°, β = 67.13°, γ = 67.13°
Positions (direct):
Li 0.3639 0.6740 0.1063
Mg 0.0000 0.0000 0.0000
Li 0.1442 0.3260 0.8937
Li 0.8558 0.6740 0.1063
Zn 0.7929 0.6150 0.7992
Zn 0.5921 0.2008 0.6150
Li 0.7500 0.5000 0.5000
Zn 0.4079 0.7992 0.3850
Li 0.6361 0.3260 0.8937
Zn 0.2071 0.3850 0.2008
Li 0.4702 0.8937 0.6740
Li 0.5298 0.1063 0.3260
Li 0.9621 0.8937 0.6740
Li 0.0379 0.1063 0.3260
Li 0.2500 0.5000 0.5000


Compound: LiMgZn11
Source: Alexandria
Functional: PBE-GGA
Structure: relaxed

DOS at the Fermi energy = 3.55 states/eV per cell
Uncorrected energy = -1.39 eV/atom
E_form = -0.039 eV/atom
Magnetization = 0.000 μB per atom

a = 5.2227 Å, b = 6.7162 Å, c = 6.8988 Å
α = 80.91°, β = 67.76°, γ = 65.33°
Positions (direct):
Zn 0.0000 0.0000 0.5000
Zn 0.2880 0.2171 0.2152
Mg 0.0000 0.0000 0.0000
Zn 0.5032 0.2171 0.7848
Zn 0.0219 0.6456 0.3454
Zn 0.7120 0.7829 0.7848
Li 0.5000 0.5000 0.0000
Zn 0.5000 0.0000 0.5000
Zn 0.9781 0.3544 0.6546
Zn 0.4968 0.7829 0.2152
Zn 0.0000 0.5000 0.0000
Zn 0.6327 0.3544 0.3454
Zn 0.3673 0.6456 0.6546